Entry 1:
VASP calculation (PBE) on crystalline Dy4MgAg3 at its relaxed geometry.

Values from the calculation:
excess energy over the best structure of this formula in the dataset	0	meV per atom

The structure in extended XYZ format:
```
8
Lattice="-1.231 2.941 -1.829 1.533 -2.135 -4.467 -9.263 -4.513 -1.022" Properties=species:S:1:pos:R:3 pbc="T T T"
Ag -2.847 0.383 -1.160
Ag -4.481 -1.854 -3.659
Ag -7.648 -1.955 -1.690
Dy 0.000 0.000 0.000
Dy -1.625 -2.233 -2.497
Dy -4.632 -2.257 -0.511
Dy -6.106 -4.416 -2.992
Mg 0.151 0.403 -3.148
```



Entry 2:
VASP calculation (PBE) on crystalline DyMg9Ag3 at its relaxed geometry.

The structure in extended XYZ format:
```
13
Lattice="1.408 -2.599 4.761 -0.182 -7.547 -0.825 7.484 -1.247 0.404" Properties=species:S:1:pos:R:3 pbc="T T T"
Dy 0.000 0.000 0.000
Mg 3.921 -8.015 4.337
Mg 2.155 -7.517 1.764
Mg 4.789 -3.377 0.003
Mg -0.091 -3.774 -0.413
Mg 1.988 -2.607 1.322
Mg 3.496 -4.692 2.966
Mg 6.722 -8.786 3.018
Mg 6.555 -3.876 2.576
Mg 5.215 -6.700 1.374
Ag 3.742 -0.623 0.202
Ag 4.446 -1.923 2.583
Ag 0.613 -5.073 1.968
```



Entry 3:
VASP calculation (PBE) on crystalline NdDyMg2Ag4 at its relaxed geometry.

The structure in extended XYZ format:
```
8
Lattice="-0.070 -4.677 1.819 4.251 -2.655 0.260 2.739 0.442 8.163" Properties=species:S:1:pos:R:3 pbc="T T T"
Nd 0.000 0.000 0.000
Ag 2.964 -4.509 2.367
Ag 4.701 -6.216 4.968
Ag 3.956 -2.380 7.876
Ag 2.219 -0.674 5.275
Mg 1.732 -1.719 2.570
Mg 5.188 -5.171 7.673
Dy 3.460 -3.445 5.121
```



Entry 4:
VASP calculation (PBE) on crystalline Dy3Mg2Ag2Pb4 at its relaxed geometry.

The structure in extended XYZ format:
```
11
Lattice="4.792 0.000 0.000 -2.396 4.150 0.000 0.000 0.000 14.840" Properties=species:S:1:pos:R:3 pbc="T T T"
Pb 0.000 2.767 13.196
Pb 2.396 1.383 1.644
Pb 2.396 1.383 9.421
Pb 0.000 2.767 5.419
Dy 0.000 0.000 10.967
Dy 0.000 0.000 0.000
Dy 0.000 0.000 3.873
Mg 0.000 2.767 8.475
Mg 2.396 1.383 6.365
Ag 0.000 2.767 2.322
Ag 2.396 1.383 12.518
```



Entry 5:
VASP calculation (PBE) on crystalline DyMg2Ag2Pb2 at its relaxed geometry.

The structure in extended XYZ format:
```
7
Lattice="4.727 0.000 0.000 2.364 4.094 0.000 2.364 1.365 8.423" Properties=species:S:1:pos:R:3 pbc="T T T"
Pb 7.091 4.094 6.793
Pb 2.364 1.365 1.630
Mg 2.364 1.365 4.920
Mg 7.091 4.094 3.503
Dy 0.000 0.000 0.000
Ag 4.727 2.729 2.779
Ag 4.727 2.729 5.644
```



Entry 6:
VASP calculation (PBE) on crystalline DyMgAgPb at its relaxed geometry.

The structure in extended XYZ format:
```
4
Lattice="-2.646 -1.454 -4.158 1.433 -4.177 -2.627 -2.890 -4.246 0.149" Properties=species:S:1:pos:R:3 pbc="T T T"
Dy 0.000 0.000 0.000
Ag -3.077 -7.407 -4.976
Pb -1.026 -2.469 -1.659
Mg -2.051 -4.938 -3.318
```



Entry 7:
VASP calculation (PBE) on crystalline PmDyMgAg at its relaxed geometry.

Values from the calculation:
excess energy over the best structure of this formula in the dataset	0	meV per atom

The structure in extended XYZ format:
```
4
Lattice="-0.487 -3.738 -0.032 3.571 -0.456 -1.120 2.168 -0.344 7.054" Properties=species:S:1:pos:R:3 pbc="T T T"
Mg 2.837 -2.302 3.639
Ag 1.805 -2.139 0.279
Pm 1.870 -0.297 6.085
Dy 0.751 -0.119 2.445
```



Entry 8:
VASP calculation (PBE) on crystalline PmDyMg2Ag4 at its relaxed geometry.

The structure in extended XYZ format:
```
8
Lattice="5.007 0.000 0.000 2.503 4.336 0.000 2.503 1.445 8.098" Properties=species:S:1:pos:R:3 pbc="T T T"
Ag 5.007 2.891 1.044
Ag 2.503 1.445 4.980
Ag 5.007 2.891 7.053
Ag 7.510 4.336 3.118
Mg 2.503 1.445 2.031
Mg 7.510 4.336 6.067
Pm 0.000 0.000 0.000
Dy 5.007 2.891 4.049
```



What did we get for Fermi-level density of states? Answer: 0.768 0.448 0.801 0.226 0.308 0.198 0.936 0.819 states/eV/atom, in the order shown.
What did we get for E_tot? Answer: -3.818 -2.259 -3.284 -3.714 -3.186 -3.488 -3.635 -3.285 eV per atom, in the order shown.
What did we get for ΔH_f (0 K)? Answer: -248.8 -143.5 -288.5 -302.6 -199.1 -298.7 -185.4 -292.1 meV per atom, in the order shown.